No. 1
Computed, not measured: a geometry-optimized Sm4Tm3Sc2 structure at the PBE level of DFT.

Properties
calculated formation energy: 0.94 eV per formula unit
energy: -4.89 eV/atom
energy relative to the lowest polymorph listed for this composition: 4.64 kJ/mol of atoms
total magnetic moment: 0.00 μB per cell
calculated density: 7.26 Mg/m³

Cell: 16.4188 11.5317 5.8479 Å, 90.00 98.06 90.00°
Space group C2/c (No. 15)
Asymmetric unit:
Sm (0.0630, 0.1162, 0.0307) (multiplicity 8)
Sm (0.2157, 0.3945, 0.8801) (multiplicity 8)
Tm (0.0000, 0.3868, 0.7500) (multiplicity 4)
Tm (0.1750, 0.1459, 0.5784) (multiplicity 8)
Sc (0.1026, 0.3699, 0.3054) (multiplicity 8)

=====

No. 2
Computed, not measured: a geometry-optimized PaZn2Ag structure at the PBE level of DFT.

Properties
calculated formation energy: 0.06 eV per formula unit
energy: -3.71 eV/atom
energy relative to the lowest polymorph listed for this composition: 3.81 kJ/mol of atoms
total magnetic moment: 0.00 μB per cell
calculated density: 10.33 Mg/m³

Cell: 3.0024 3.0024 29.0158 Å, 90.00 90.00 120.00°
Space group R-3m (No. 166, hexagonal axes)
Asymmetric unit:
Pa (0.0000, 0.0000, 0.0000) (multiplicity 3)
Zn (0.0000, 0.0000, 0.2429) (multiplicity 6)
Ag (0.0000, 0.0000, 0.5000) (multiplicity 3)

=====

What is the energy in the first record?
-4.89 eV/atom